BaBe2Cu: relaxed, PBE-GGA.

Output
theoretical density	4.6	g/cm³
E above lowest polymorph	913	meV/atom
SG	C2/m
M_tot	0.00	μB per atom
E_form	1.02	eV/atom
volume	79.8	Å³/cell

Structure (CIF):
```
data_BaBe2Cu
_cell_length_a 4.708
_cell_length_b 4.708
_cell_length_c 4.609
_cell_angle_alpha 71.16
_cell_angle_beta 71.16
_cell_angle_gamma 109.50
_symmetry_space_group_name_H-M 'P 1'
_symmetry_Int_Tables_number 1
loop_
_symmetry_equiv_pos_as_xyz
'x,y,z'
loop_
_atom_site_label
_atom_site_type_symbol
_atom_site_fract_x
_atom_site_fract_y
_atom_site_fract_z
_atom_site_occupancy
Be1 Be 0.000 0.000 0.000 1
Be2 Be 0.500 0.500 0.000 1
Ba1 Ba 0.000 0.500 0.500 1
Cu1 Cu 0.500 0.000 0.500 1
```

---

HWN2: relaxed, PBE-GGA.

Output
theoretical density	11.2	g/cm³
E above lowest polymorph	1080	meV/atom
SG	Fm-3m
M_tot	0.05	μB per atom
volume	31.5	Å³/cell

Structure (CIF):
```
data_HWN2
_cell_length_a 3.544
_cell_length_b 3.544
_cell_length_c 3.544
_cell_angle_alpha 60.00
_cell_angle_beta 60.00
_cell_angle_gamma 60.00
_symmetry_space_group_name_H-M 'P 1'
_symmetry_Int_Tables_number 1
loop_
_symmetry_equiv_pos_as_xyz
'x,y,z'
loop_
_atom_site_label
_atom_site_type_symbol
_atom_site_fract_x
_atom_site_fract_y
_atom_site_fract_z
_atom_site_occupancy
H1 H 0.000 0.000 0.000 1
W1 W 0.500 0.500 0.500 1
N1 N 0.250 0.250 0.250 1
N2 N 0.750 0.750 0.750 1
```

---

Ac3Cu3Bi4: relaxed, PBE-GGA.

Output
theoretical density	10.2	g/cm³
SG	I-43d
M_tot	0.00	μB per atom
E_form	-0.62	eV/atom
volume	558.4	Å³/cell

Structure (CIF):
```
data_Ac3Cu3Bi4
_cell_length_a 8.985
_cell_length_b 8.985
_cell_length_c 8.985
_cell_angle_alpha 109.47
_cell_angle_beta 109.47
_cell_angle_gamma 109.47
_symmetry_space_group_name_H-M 'P 1'
_symmetry_Int_Tables_number 1
loop_
_symmetry_equiv_pos_as_xyz
'x,y,z'
loop_
_atom_site_label
_atom_site_type_symbol
_atom_site_fract_x
_atom_site_fract_y
_atom_site_fract_z
_atom_site_occupancy
Ac1 Ac 0.625 0.750 0.875 1
Ac2 Ac 0.875 0.250 0.625 1
Ac3 Ac 0.125 0.375 0.250 1
Ac4 Ac 0.375 0.125 0.750 1
Ac5 Ac 0.250 0.875 0.125 1
Ac6 Ac 0.750 0.625 0.375 1
Cu1 Cu 0.125 0.750 0.375 1
Cu2 Cu 0.375 0.250 0.125 1
Cu3 Cu 0.625 0.875 0.250 1
Cu4 Cu 0.875 0.625 0.750 1
Cu5 Cu 0.250 0.375 0.625 1
Cu6 Cu 0.750 0.125 0.875 1
Bi1 Bi 0.000 0.000 0.339 1
Bi2 Bi 0.500 0.339 0.500 1
Bi3 Bi 0.661 0.161 0.161 1
Bi4 Bi 0.000 0.000 0.839 1
Bi5 Bi 0.839 0.500 0.000 1
Bi6 Bi 0.500 0.839 0.500 1
Bi7 Bi 0.339 0.500 0.000 1
Bi8 Bi 0.161 0.661 0.661 1
```

---

Ho3Er2Sb2: relaxed, PBE-GGA.

Output
theoretical density	8.8	g/cm³
energy	-5.061	eV per atom
SG	C2/m
M_tot	0.00	μB per atom
volume	202.1	Å³/cell

Structure (CIF):
```
data_Ho3Er2Sb2
_cell_length_a 4.221
_cell_length_b 6.378
_cell_length_c 8.386
_cell_angle_alpha 107.42
_cell_angle_beta 90.00
_cell_angle_gamma 109.32
_symmetry_space_group_name_H-M 'P 1'
_symmetry_Int_Tables_number 1
loop_
_symmetry_equiv_pos_as_xyz
'x,y,z'
loop_
_atom_site_label
_atom_site_type_symbol
_atom_site_fract_x
_atom_site_fract_y
_atom_site_fract_z
_atom_site_occupancy
Ho1 Ho 0.500 0.000 0.000 1
Ho2 Ho 0.626 0.251 0.445 1
Ho3 Ho 0.374 0.749 0.555 1
Er1 Er 0.870 0.740 0.219 1
Er2 Er 0.130 0.260 0.781 1
Sb1 Sb 0.824 0.649 0.809 1
Sb2 Sb 0.176 0.351 0.191 1
```

---

Q: Which value of theoretical density does entry 2 give?
A: 11.2 g/cm³

---

Q: The lowest volume belongs to which entry?
A: HWN2

---

Q: The highest theoretical density belongs to which entry?
A: HWN2